[1]
A plane-wave DFT calculation with PBE was carried out for an optimized crystal structure of Ac4Tl2SeS.

Properties
V in Å³/f.u.: 279.3
Symmetry: P2/m
VASP energy in eV/atom: -4.67

Lattice parameters (Å, degrees): 4.4038 7.6592 8.6583 107.01 90.00 90.00
Atoms (fractional coordinates):
Ac 0.0000 0.7467 0.2237
Tl 0.5000 0.0000 0.5000
Se 0.5000 0.5000 0.0000
S 0.0000 0.0000 0.0000
Ac 0.5000 0.7669 0.7812
Ac 0.5000 0.2331 0.2188
Tl 0.0000 0.5000 0.5000
Ac 0.0000 0.2533 0.7763

---

[2]
A plane-wave DFT calculation with PBE was carried out for an optimized crystal structure of Ac2TmSe2S2.

Properties
V in Å³/f.u.: 199.6
Symmetry: I4/mmm
VASP energy in eV/atom: -5.87

Lattice parameters (Å, degrees): 5.0309 5.0309 8.6529 106.90 106.90 90.00
Atoms (fractional coordinates):
S 0.5000 0.0000 0.0000
S 0.0000 0.5000 0.0000
Se 0.8220 0.8220 0.6440
Ac 0.3701 0.3701 0.7402
Ac 0.6299 0.6299 0.2598
Tm 0.0000 0.0000 0.0000
Se 0.1780 0.1780 0.3560

---

Copy entry 2 word for word.
A plane-wave DFT calculation with PBE was carried out for an optimized crystal structure of Ac2TmSe2S2.

Properties
V in Å³/f.u.: 199.6
Symmetry: I4/mmm
VASP energy in eV/atom: -5.87

Lattice parameters (Å, degrees): 5.0309 5.0309 8.6529 106.90 106.90 90.00
Atoms (fractional coordinates):
S 0.5000 0.0000 0.0000
S 0.0000 0.5000 0.0000
Se 0.8220 0.8220 0.6440
Ac 0.3701 0.3701 0.7402
Ac 0.6299 0.6299 0.2598
Tm 0.0000 0.0000 0.0000
Se 0.1780 0.1780 0.3560

---

Repeat the first record exactly.
A plane-wave DFT calculation with PBE was carried out for an optimized crystal structure of Ac4Tl2SeS.

Properties
V in Å³/f.u.: 279.3
Symmetry: P2/m
VASP energy in eV/atom: -4.67

Lattice parameters (Å, degrees): 4.4038 7.6592 8.6583 107.01 90.00 90.00
Atoms (fractional coordinates):
Ac 0.0000 0.7467 0.2237
Tl 0.5000 0.0000 0.5000
Se 0.5000 0.5000 0.0000
S 0.0000 0.0000 0.0000
Ac 0.5000 0.7669 0.7812
Ac 0.5000 0.2331 0.2188
Tl 0.0000 0.5000 0.5000
Ac 0.0000 0.2533 0.7763

---

- What is the V in the second record?
  199.6 Å³/f.u.

---

- Among the records above, which one has the highest VASP energy?
  Ac4Tl2SeS